First-principles (PBE) data for a geometry-optimized HoErGeAu structure, as listed in Alexandria.

POSCAR file:
```
HoErGeAu
1.0
7.136 0.000 0.000
0.000 7.136 0.000
0.000 0.000 7.136
Ho Er Ge Au
4 4 4 4
Direct
0.000 0.000 0.000
0.000 0.500 0.500
0.500 0.000 0.500
0.500 0.500 0.000
0.000 0.000 0.500
0.000 0.500 0.000
0.500 0.000 0.000
0.500 0.500 0.500
0.250 0.250 0.750
0.250 0.750 0.250
0.750 0.250 0.250
0.750 0.750 0.750
0.250 0.250 0.250
0.250 0.750 0.750
0.750 0.250 0.750
0.750 0.750 0.250
```

Values from the calculation:
Distance to the lowest polymorph of the same formula: 0.119 eV/atom
Formation energy from the elements: -0.747 eV/atom

First-principles (PBE) data for a geometry-optimized InP2H6NO8 structure, as listed in Alexandria.

POSCAR file:
```
InP2H6NO8
1.0
9.943 0.000 0.000
0.000 8.647 0.000
-4.412 0.000 8.387
In P H N O
4 8 24 4 32
Direct
0.245 0.110 0.257
0.245 0.390 0.757
0.755 0.610 0.243
0.755 0.890 0.743
0.104 0.061 0.851
0.104 0.439 0.351
0.498 0.692 0.867
0.498 0.808 0.367
0.502 0.192 0.633
0.502 0.308 0.133
0.896 0.561 0.649
0.896 0.939 0.149
0.038 0.701 0.042
0.038 0.799 0.542
0.128 0.619 0.948
0.128 0.881 0.448
0.165 0.555 0.130
0.165 0.945 0.630
0.222 0.735 0.113
0.222 0.765 0.613
0.300 0.611 0.416
0.300 0.889 0.916
0.495 0.218 0.871
0.495 0.282 0.371
0.505 0.718 0.629
0.505 0.782 0.129
0.700 0.111 0.084
0.700 0.389 0.584
0.778 0.235 0.387
0.778 0.265 0.887
0.835 0.055 0.370
0.835 0.445 0.870
0.872 0.119 0.552
0.872 0.381 0.052
0.962 0.201 0.458
0.962 0.299 0.958
0.139 0.652 0.059
0.139 0.848 0.559
0.861 0.152 0.441
0.861 0.348 0.941
0.065 0.522 0.763
0.065 0.978 0.263
0.120 0.141 0.003
0.120 0.359 0.503
0.166 0.157 0.758
0.166 0.343 0.258
0.189 0.601 0.391
0.189 0.899 0.891
0.355 0.603 0.751
0.355 0.897 0.251
0.369 0.093 0.516
0.369 0.407 0.016
0.451 0.231 0.259
0.451 0.269 0.759
0.462 0.677 0.453
0.462 0.823 0.953
0.538 0.177 0.047
0.538 0.323 0.547
0.549 0.731 0.241
0.549 0.769 0.741
0.631 0.593 0.984
0.631 0.907 0.484
0.645 0.103 0.749
0.645 0.397 0.249
0.811 0.101 0.109
0.811 0.399 0.609
0.834 0.657 0.742
0.834 0.843 0.242
0.880 0.641 0.497
0.880 0.859 0.997
0.935 0.022 0.737
0.935 0.478 0.237
```

Values from the calculation:
Final energy: -433.54 eV per cell

First-principles (PBE) data for a geometry-optimized Ho3Ag4SnS8 structure, as listed in Alexandria.

POSCAR file:
```
Ho3Ag4SnS8
1.0
6.592 -3.992 0.000
6.592 3.992 0.000
-4.190 0.000 6.481
Ho Ag Sn S
3 4 1 8
Direct
0.000 0.000 0.000
0.000 0.500 0.500
0.500 0.000 0.500
0.000 0.000 0.500
0.000 0.500 0.000
0.500 0.000 0.000
0.500 0.500 0.500
0.500 0.500 0.000
0.246 0.246 0.255
0.248 0.748 0.753
0.252 0.252 0.747
0.252 0.752 0.247
0.748 0.248 0.753
0.748 0.748 0.253
0.752 0.252 0.247
0.754 0.754 0.745
```

Values from the calculation:
Raw formation energy: -16.283 eV/f.u.

First-principles (PBE) data for a geometry-optimized Ce4Sb3H2 structure, as listed in Alexandria.

POSCAR file:
```
Ce4Sb3H2
1.0
5.869 -2.253 0.000
5.869 2.253 0.000
-3.574 0.000 8.134
Ce Sb H
4 3 2
Direct
0.112 0.112 0.397
0.301 0.301 0.895
0.699 0.699 0.105
0.888 0.888 0.603
0.000 0.000 0.000
0.380 0.380 0.312
0.620 0.620 0.688
0.311 0.311 0.629
0.689 0.689 0.371
```

Values from the calculation:
Distance to the lowest polymorph of the same formula: 0.000 eV/atom

| no. | volume (A^3/atom) |
| --- | --- |
| 1 | 22.7 |
| 2 | 10.0 |
| 3 | 21.3 |
| 4 | 23.9 |